Entry from Alexandria via LeMat-Bulk: a relaxed structure of Sr3CaIn3 (GGA-PBE).

Structure (POSCAR):
```
Sr3CaIn3
1.0
-4.080 -6.468 2.822
6.653 -3.132 3.518
-1.610 3.834 6.459
Sr Ca In
6 2 6
Cartesian
-0.183 -0.402 4.761
3.125 -2.062 6.570
-2.161 -3.705 6.228
3.684 -4.055 3.325
-1.111 -5.545 3.015
1.147 -5.364 8.038
-0.988 1.515 7.990
1.952 -7.282 4.809
-1.262 3.004 5.061
4.235 -5.464 6.448
-1.132 -7.132 6.101
-3.271 -0.302 6.350
2.095 1.366 6.698
2.225 -8.771 7.738
```

Values from the calculation:
Space-group type: Cmmm
DOS(E_F), states/eV/f.u.: 4.98
ΔE_f, eV/atom: -0.3544
Density, g/cm3: 4.2